<i>
Entry from Alexandria via LeMat-Bulk: an optimized crystal structure of Li2MgGa2 (PBE-GGA).

```
data_Li2MgGa2
_chemical_formula_sum 'Li4 Mg2 Ga4'
_symmetry_space_group_name_H-M 'P 1'
_symmetry_Int_Tables_number 1
_cell_length_a 5.0970
_cell_length_b 3.2348
_cell_length_c 11.1570
_cell_angle_alpha 90.00
_cell_angle_beta 102.85
_cell_angle_gamma 90.00
loop_
_symmetry_equiv_pos_as_xyz
'x,y,z'
loop_
_atom_site_label
_atom_site_fract_x
_atom_site_fract_y
_atom_site_fract_z
Li1 0.1676 0.2500 0.0785
Li2 0.2672 0.2500 0.5021
Li3 0.7328 0.7500 0.4979
Li4 0.8324 0.7500 0.9215
Mg1 0.0078 0.7500 0.2739
Mg2 0.9922 0.2500 0.7261
Ga1 0.3383 0.7500 0.9162
Ga2 0.4761 0.7500 0.6982
Ga3 0.5239 0.2500 0.3018
Ga4 0.6617 0.2500 0.0838
```

***

<ii>
Entry from Alexandria via LeMat-Bulk: an optimized crystal structure of Li2MgGa2 (PBE-GGA).

```
data_Li2MgGa2
_chemical_formula_sum 'Li2 Mg1 Ga2'
_symmetry_space_group_name_H-M 'P 1'
_symmetry_Int_Tables_number 1
_cell_length_a 7.0306
_cell_length_b 7.0306
_cell_length_c 7.0306
_cell_angle_alpha 149.19
_cell_angle_beta 149.19
_cell_angle_gamma 44.14
loop_
_symmetry_equiv_pos_as_xyz
'x,y,z'
loop_
_atom_site_label
_atom_site_fract_x
_atom_site_fract_y
_atom_site_fract_z
Li1 0.2500 0.7500 0.5000
Li2 0.7500 0.2500 0.5000
Mg1 0.0000 0.0000 0.0000
Ga1 0.4002 0.4002 0.0000
Ga2 0.5998 0.5998 0.0000
```

***

<iii>
Entry from Alexandria via LeMat-Bulk: an optimized crystal structure of Li2MgGa2 (PBE-GGA).

```
data_Li2MgGa2
_chemical_formula_sum 'Li4 Mg2 Ga4'
_symmetry_space_group_name_H-M 'P 1'
_symmetry_Int_Tables_number 1
_cell_length_a 7.5157
_cell_length_b 7.5157
_cell_length_c 3.0946
_cell_angle_alpha 90.00
_cell_angle_beta 90.00
_cell_angle_gamma 90.00
loop_
_symmetry_equiv_pos_as_xyz
'x,y,z'
loop_
_atom_site_label
_atom_site_fract_x
_atom_site_fract_y
_atom_site_fract_z
Li1 0.1759 0.3241 0.0000
Li2 0.3241 0.8241 0.0000
Li3 0.6759 0.1759 0.0000
Li4 0.8241 0.6759 0.0000
Mg1 0.0000 0.0000 0.5000
Mg2 0.5000 0.5000 0.5000
Ga1 0.1229 0.6229 0.5000
Ga2 0.3771 0.1229 0.5000
Ga3 0.6229 0.8771 0.5000
Ga4 0.8771 0.3771 0.5000
```

***

<iv>
Entry from Alexandria via LeMat-Bulk: an optimized crystal structure of Li2MgGa2 (PBE-GGA).

```
data_Li2MgGa2
_chemical_formula_sum 'Li4 Mg2 Ga4'
_symmetry_space_group_name_H-M 'P 1'
_symmetry_Int_Tables_number 1
_cell_length_a 7.6824
_cell_length_b 7.6824
_cell_length_c 2.8913
_cell_angle_alpha 90.00
_cell_angle_beta 90.00
_cell_angle_gamma 90.00
loop_
_symmetry_equiv_pos_as_xyz
'x,y,z'
loop_
_atom_site_label
_atom_site_fract_x
_atom_site_fract_y
_atom_site_fract_z
Li1 0.1187 0.3813 0.0000
Li2 0.3813 0.8813 0.0000
Li3 0.6187 0.1187 0.0000
Li4 0.8813 0.6187 0.0000
Mg1 0.0000 0.0000 0.0000
Mg2 0.5000 0.5000 0.0000
Ga1 0.1761 0.6761 0.5000
Ga2 0.3239 0.1761 0.5000
Ga3 0.6761 0.8239 0.5000
Ga4 0.8239 0.3239 0.5000
```

***

Preferred: <iii>; penalty for the next structure: 3.4 kJ/mol of atoms.

***

<i>
Entry from Alexandria via LeMat-Bulk: an optimized crystal structure of Li5Mg2Ga2 (PBE-GGA).

```
data_Li5Mg2Ga2
_chemical_formula_sum 'Li10 Mg4 Ga4'
_symmetry_space_group_name_H-M 'P 1'
_symmetry_Int_Tables_number 1
_cell_length_a 8.7970
_cell_length_b 8.7970
_cell_length_c 8.7970
_cell_angle_alpha 87.38
_cell_angle_beta 100.46
_cell_angle_gamma 149.79
loop_
_symmetry_equiv_pos_as_xyz
'x,y,z'
loop_
_atom_site_label
_atom_site_fract_x
_atom_site_fract_y
_atom_site_fract_z
Li1 0.1671 0.0435 0.2106
Li2 0.1671 0.4565 0.6235
Li3 0.1804 0.2529 0.4275
Li4 0.3088 0.6482 0.9521
Li5 0.3088 0.8566 0.1606
Li6 0.6960 0.1482 0.8394
Li7 0.6960 0.3566 0.0479
Li8 0.8254 0.7529 0.5725
Li9 0.8329 0.5435 0.3765
Li10 0.8329 0.9565 0.7894
Mg1 0.4525 0.2524 0.7001
Mg2 0.5004 0.0004 0.5000
Mg3 0.5004 0.5004 0.0000
Mg4 0.5523 0.7524 0.2999
Ga1 0.0597 0.6477 0.7037
Ga2 0.0597 0.8561 0.9120
Ga3 0.9441 0.1477 0.0880
Ga4 0.9441 0.3561 0.2963
```

***

<ii>
Entry from Alexandria via LeMat-Bulk: an optimized crystal structure of Li5Mg2Ga2 (PBE-GGA).

```
data_Li5Mg2Ga2
_chemical_formula_sum 'Li10 Mg4 Ga4'
_symmetry_space_group_name_H-M 'P 1'
_symmetry_Int_Tables_number 1
_cell_length_a 9.7174
_cell_length_b 9.7174
_cell_length_c 9.7174
_cell_angle_alpha 55.18
_cell_angle_beta 140.21
_cell_angle_gamma 143.38
loop_
_symmetry_equiv_pos_as_xyz
'x,y,z'
loop_
_atom_site_label
_atom_site_fract_x
_atom_site_fract_y
_atom_site_fract_z
Li1 0.2324 0.0007 0.7317
Li2 0.2495 0.1109 0.3604
Li3 0.2495 0.3891 0.6385
Li4 0.2507 0.6618 0.9109
Li5 0.2507 0.8398 0.0889
Li6 0.2691 0.5007 0.2683
Li7 0.7509 0.1618 0.9111
Li8 0.7509 0.3398 0.0891
Li9 0.7505 0.6109 0.3615
Li10 0.7505 0.8891 0.6396
Mg1 0.6948 0.5002 0.6946
Mg2 0.7488 0.2488 0.5000
Mg3 0.7488 0.7488 0.0000
Mg4 0.8057 0.0002 0.3054
Ga1 0.1630 0.3121 0.9738
Ga2 0.1630 0.6892 0.3509
Ga3 0.3383 0.1892 0.0262
Ga4 0.3383 0.8121 0.6491
```

***

Preferred: <i>; penalty for the next structure: 6.5 kJ/mol of atoms.

***

<i>
Entry from Alexandria via LeMat-Bulk: an optimized crystal structure of LiMg3Ga3 (PBE-GGA).

```
data_LiMg3Ga3
_chemical_formula_sum 'Li2 Mg6 Ga6'
_symmetry_space_group_name_H-M 'P 1'
_symmetry_Int_Tables_number 1
_cell_length_a 5.3368
_cell_length_b 5.3368
_cell_length_c 13.0253
_cell_angle_alpha 90.00
_cell_angle_beta 90.00
_cell_angle_gamma 132.10
loop_
_symmetry_equiv_pos_as_xyz
'x,y,z'
loop_
_atom_site_label
_atom_site_fract_x
_atom_site_fract_y
_atom_site_fract_z
Li1 0.0000 0.0000 0.0000
Li2 0.0000 0.0000 0.5000
Mg1 0.0307 0.9693 0.7500
Mg2 0.2927 0.7073 0.6047
Mg3 0.2927 0.7073 0.8953
Mg4 0.7073 0.2927 0.1047
Mg5 0.7073 0.2927 0.3953
Mg6 0.9693 0.0307 0.2500
Ga1 0.2492 0.7508 0.2500
Ga2 0.4153 0.5847 0.0957
Ga3 0.4153 0.5847 0.4043
Ga4 0.5847 0.4153 0.5957
Ga5 0.5847 0.4153 0.9043
Ga6 0.7508 0.2492 0.7500
```

***

<ii>
Entry from Alexandria via LeMat-Bulk: an optimized crystal structure of LiMg3Ga3 (PBE-GGA).

```
data_LiMg3Ga3
_chemical_formula_sum 'Li2 Mg6 Ga6'
_symmetry_space_group_name_H-M 'P 1'
_symmetry_Int_Tables_number 1
_cell_length_a 7.1092
_cell_length_b 7.1092
_cell_length_c 7.1092
_cell_angle_alpha 65.49
_cell_angle_beta 65.49
_cell_angle_gamma 65.49
loop_
_symmetry_equiv_pos_as_xyz
'x,y,z'
loop_
_atom_site_label
_atom_site_fract_x
_atom_site_fract_y
_atom_site_fract_z
Li1 0.1472 0.1472 0.1472
Li2 0.8528 0.8528 0.8528
Mg1 0.0343 0.2508 0.5678
Mg2 0.2508 0.5678 0.0343
Mg3 0.4322 0.9657 0.7492
Mg4 0.5678 0.0343 0.2508
Mg5 0.7492 0.4322 0.9657
Mg6 0.9657 0.7492 0.4322
Ga1 0.1787 0.4406 0.7445
Ga2 0.2555 0.8213 0.5594
Ga3 0.4406 0.7445 0.1787
Ga4 0.5594 0.2555 0.8213
Ga5 0.7445 0.1787 0.4406
Ga6 0.8213 0.5594 0.2555
```

***

Preferred: <i>; penalty for the next structure: 4.4 kJ/mol of atoms.